A plane-wave DFT calculation with GGA+U was carried out for NpAgMoO6 after structural relaxation.

Summary:
**VASP energy**: -7.67 eV/atom
**Symmetry**: P-31c (163)

a b c (Å): 5.5235 5.5235 9.9536
angles (deg): 90.00 90.00 120.00
Last column: nearest neighbours and their distance in Å.
Fractional coordinates of all 18 atoms:
Np: 0.6667 0.3333 0.2500  6 O 2.08
Np: 0.3333 0.6667 0.7500  6 O 2.08
Ag: 0.0000 0.0000 0.0000  6 O 2.49
Ag: 0.0000 0.0000 0.5000  6 O 2.49
Mo: 0.3333 0.6667 0.2500  6 O 2.01
Mo: 0.6667 0.3333 0.7500  6 O 2.01
O: 0.6258 0.6364 0.1439  1 Mo 2.01, 1 Np 2.08
O: 0.0106 0.3742 0.1439  1 Mo 2.01, 1 Np 2.08
O: 0.3742 0.0106 0.6439  1 Mo 2.01, 1 Np 2.08
O: 0.9894 0.6258 0.8561  1 Mo 2.01, 1 Np 2.08
O: 0.3636 0.3742 0.3561  1 Mo 2.01, 1 Np 2.08
O: 0.0106 0.6364 0.3561  1 Mo 2.01, 1 Np 2.08
O: 0.6364 0.0106 0.8561  1 Mo 2.01, 1 Np 2.08
O: 0.6258 0.9894 0.3561  1 Mo 2.01, 1 Np 2.08
O: 0.9894 0.3636 0.6439  1 Mo 2.01, 1 Np 2.08
O: 0.3636 0.9894 0.1439  1 Mo 2.01, 1 Np 2.08
O: 0.6364 0.6258 0.6439  1 Mo 2.01, 1 Np 2.08
O: 0.3742 0.3636 0.8561  1 Mo 2.01, 1 Np 2.08